Record 1
Material: NaSmAs2
Method: DFT, PBE
State: optimized geometry

Computed properties:
Its crystal system is trigonal. For the electronic total energy, the calculation gives -17.8 eV/cell. The value obtained for the energy of formation is -2.5 eV per formula unit.

Lattice parameters (Å, degrees): 4.8203 4.8203 5.4623 63.82 63.82 60.00
Element x y z (fractional)
Na1 0.0000 0.0000 0.0000
As1 0.7481 0.7481 0.7556
As2 0.2519 0.2519 0.2444
Sm1 0.5000 0.5000 0.5000


Record 2
Material: NaSm2UAs4
Method: DFT, PBE
State: optimized geometry

Computed properties:
Its crystal system is monoclinic. For the electronic total energy, the calculation gives -48.3 eV/cell. The value obtained for the energy of formation is -7.7 eV per formula unit.

Lattice parameters (Å, degrees): 4.1828 7.1897 7.2016 108.51 90.00 90.00
Last column: magnetic moment on the atom in μB.
Element x y z (fractional)
Sm1 0.5000 0.0000 0.5000  -0.02
Sm2 0.0000 0.5000 0.5000  0.01
As1 0.0000 0.2315 0.7574  -0.06
U1 0.0000 0.0000 0.0000  1.29
As2 0.0000 0.7685 0.2426  -0.06
As3 0.5000 0.2387 0.2401  -0.05
Na1 0.5000 0.5000 0.0000  0.00
As4 0.5000 0.7613 0.7599  -0.05


Record 3
Material: NaSn3As
Method: DFT, PBE
State: optimized geometry

Computed properties:
Its crystal system is cubic. For the electronic total energy, the calculation gives -14.0 eV/cell. The value obtained for the energy of formation is 4.0 eV per formula unit.

Lattice parameters (Å, degrees): 5.3526 5.3526 5.3526 90.00 90.00 90.00
Element x y z (fractional)
Sn1 0.0000 0.5000 0.0000
Sn2 0.5000 0.0000 0.0000
Sn3 0.0000 0.0000 0.5000
Na1 0.0000 0.0000 0.0000
As1 0.5000 0.5000 0.5000


Record 4
Material: Na5SnAs3
Method: DFT, PBE
State: optimized geometry

Computed properties:
Its crystal system is monoclinic. For the electronic total energy, the calculation gives -113.5 eV/cell. The value obtained for the energy of formation is -3.8 eV per formula unit.

Lattice parameters (Å, degrees): 7.6814 8.6319 16.1744 58.20 90.00 90.00
Element x y z (fractional)
As1 0.2064 0.3303 0.0714
Sn1 0.8523 0.3397 0.0901
Sn2 0.3523 0.6603 0.4099
As2 0.2522 0.6366 0.2610
Na1 0.9592 0.4115 0.4109
Na2 0.0052 0.9076 0.2585
As3 0.2936 0.3303 0.5714
Na3 0.4756 0.2523 0.4138
As4 0.2308 0.9400 0.4170
As5 0.7692 0.0600 0.5830
Na4 0.3399 0.9929 0.0826
As6 0.7522 0.3634 0.2390
Na5 0.3589 0.3136 0.7568
Na6 0.6601 0.0071 0.9174
Na7 0.8399 0.0071 0.4174
As7 0.7478 0.3634 0.7390
Na8 0.0408 0.5885 0.5891
As8 0.2478 0.6366 0.7610
Na9 0.5052 0.0924 0.2415
Na10 0.4592 0.5885 0.0891
Na11 0.9948 0.0924 0.7415
Na12 0.9756 0.7477 0.0862
Sn3 0.6477 0.3397 0.5901
Na13 0.8589 0.6864 0.7432
Na14 0.5408 0.4115 0.9109
As9 0.2692 0.9400 0.9170
As10 0.7064 0.6697 0.4286
Na15 0.5244 0.7477 0.5862
Na16 0.1411 0.3136 0.2568
Na17 0.0244 0.2523 0.9138
As11 0.7308 0.0600 0.0830
Sn4 0.1477 0.6603 0.9099
Na18 0.6411 0.6864 0.2432
Na19 0.4948 0.9076 0.7585
Na20 0.1601 0.9929 0.5826
As12 0.7936 0.6697 0.9286


Record 5
Material: NaSnAs2
Method: DFT, PBE
State: optimized geometry

Computed properties:
Its crystal system is trigonal. For the electronic total energy, the calculation gives -15.0 eV/cell. The value obtained for the energy of formation is -0.3 eV per formula unit.

Lattice parameters (Å, degrees): 3.8633 3.8633 8.0230 76.07 76.07 60.00
Element x y z (fractional)
Sn1 0.0000 0.0000 0.0000
As1 0.2612 0.2612 0.2165
Na1 0.5000 0.5000 0.5000
As2 0.7388 0.7388 0.7835


Record 6
Material: Na2SnAs
Method: DFT, PBE
State: optimized geometry

Computed properties:
Its crystal system is cubic. For the electronic total energy, the calculation gives -11.7 eV/cell. The value obtained for the energy of formation is -0.4 eV per formula unit.

Lattice parameters (Å, degrees): 5.1496 5.1496 5.1496 60.00 60.00 60.00
Element x y z (fractional)
As1 0.0000 0.0000 0.0000
Na1 0.7500 0.7500 0.7500
Sn1 0.5000 0.5000 0.5000
Na2 0.2500 0.2500 0.2500


Record 7
Material: NaSn2As
Method: DFT, PBE
State: optimized geometry

Computed properties:
Its crystal system is tetragonal. For the electronic total energy, the calculation gives -28.9 eV/cell. The value obtained for the energy of formation is -0.5 eV per formula unit.

Lattice parameters (Å, degrees): 8.3024 8.3024 6.6761 51.55 51.55 90.00
Element x y z (fractional)
Sn1 0.3750 0.3321 0.7500
Sn2 0.8750 0.9179 0.7500
Na1 0.5000 0.5000 0.0000
Na2 0.2500 0.7500 0.5000
As1 0.0000 0.0000 0.0000
As2 0.7500 0.2500 0.5000
Sn3 0.0821 0.6250 0.2500
Sn4 0.6679 0.1250 0.2500


Record 8
Material: NaSnAs
Method: DFT, PBE
State: optimized geometry

Computed properties:
Its crystal system is orthorhombic. For the electronic total energy, the calculation gives -21.4 eV/cell. The value obtained for the energy of formation is -0.7 eV per formula unit.

Lattice parameters (Å, degrees): 3.9312 6.4336 6.4814 90.00 90.00 107.79
Element x y z (fractional)
As1 0.3504 0.7009 0.2500
Na1 0.0000 0.0000 0.5000
Sn1 0.3009 0.6017 0.7500
As2 0.6496 0.2991 0.7500
Na2 0.0000 0.0000 0.0000
Sn2 0.6991 0.3983 0.2500


Record 9
Material: NaSnAs3
Method: DFT, PBE
State: optimized geometry

Computed properties:
Its crystal system is cubic. For the electronic total energy, the calculation gives -16.5 eV/cell. The value obtained for the energy of formation is 2.7 eV per formula unit.

Lattice parameters (Å, degrees): 5.3416 5.3416 5.3416 90.00 90.00 90.00
Element x y z (fractional)
As1 0.0000 0.5000 0.0000
Sn1 0.0000 0.0000 0.0000
Na1 0.5000 0.5000 0.5000
As2 0.0000 0.0000 0.5000
As3 0.5000 0.0000 0.0000


Record 10
Material: NaSn4As2
Method: DFT, PBE
State: optimized geometry

Computed properties:
Its crystal system is monoclinic. For the electronic total energy, the calculation gives -27.5 eV/cell. The value obtained for the energy of formation is -0.9 eV per formula unit.

Lattice parameters (Å, degrees): 4.1377 4.0166 13.6666 98.02 90.00 59.00
Element x y z (fractional)
As1 0.2875 0.4250 0.1523
Na1 0.0000 0.0000 0.0000
Sn1 0.5920 0.8159 0.2552
As2 0.7125 0.5750 0.8477
Sn2 0.1510 0.6980 0.5718
Sn3 0.8490 0.3020 0.4282
Sn4 0.4080 0.1841 0.7448


Record 11
Material: NaSn3As3
Method: DFT, PBE
State: optimized geometry

Computed properties:
Its crystal system is trigonal. For the electronic total energy, the calculation gives -55.9 eV/cell. The value obtained for the energy of formation is -0.7 eV per formula unit.

Lattice parameters (Å, degrees): 8.4899 8.4899 8.0323 58.10 58.10 60.00
Element x y z (fractional)
As1 0.4233 0.0777 0.7588
Sn1 0.2184 0.8893 0.3188
As2 0.2599 0.5767 0.2412
Sn2 0.8893 0.5734 0.3188
As3 0.5767 0.9223 0.2412
As4 0.9223 0.2599 0.2412
Sn3 0.1107 0.4266 0.6812
Sn4 0.5734 0.2184 0.3188
As5 0.0777 0.7401 0.7588
Sn5 0.4266 0.7816 0.6812
Sn6 0.7816 0.1107 0.6812
As6 0.7401 0.4233 0.7588
Na1 0.3329 0.3329 0.0014
Na2 0.6671 0.6671 0.9986


Record 12
Material: Na8SnAs2
Method: DFT, PBE
State: optimized geometry

Computed properties:
Its crystal system is orthorhombic. For the electronic total energy, the calculation gives -27.0 eV/cell. The value obtained for the energy of formation is -3.2 eV per formula unit.

Lattice parameters (Å, degrees): 5.0032 8.5361 8.3269 120.83 107.48 90.00
Element x y z (fractional)
Na1 0.3370 0.5454 0.6739
Na2 0.3370 0.1285 0.6740
Na3 0.0000 0.3137 0.0000
Na4 0.1510 0.1510 0.3019
Na5 0.0000 0.6863 0.0000
As1 0.7972 0.2972 0.5945
Sn1 0.5000 0.0000 0.0000
Na6 0.6630 0.4546 0.3261
Na7 0.8490 0.8490 0.6981
Na8 0.6630 0.8715 0.3260
As2 0.2028 0.7028 0.4055


> What is the electronic total energy in the second record?

-48.3 eV/cell


> What is the energy of formation in the ninth record?

2.7 eV per formula unit